Entry 1:
! PBE MoPd5Au2, relaxed; values from VASP
! Energy relative to the elements (kcal/mol of atoms): -1.6
! Raw total energy (eV/atom): -5.4885
! Total magnetization (μB per cell): 0.389
&SYSTEM
  ibrav = 0, nat = 8, ntyp = 3
/
ATOMIC_SPECIES
Mo 95.94 Mo.upf
Pd 106.42 Pd.upf
Au 196.97 Au.upf
CELL_PARAMETERS angstrom
-2.0014 2.0014 7.9810
2.0014 -2.0014 7.9810
2.0014 2.0014 -7.9810
ATOMIC_POSITIONS angstrom
Mo 0.0000 0.0000 0.0000
Pd 2.0014 0.0000 1.8708
Pd 2.0014 0.0000 6.1102
Pd 0.0000 0.0000 7.9810
Pd 0.0000 2.0014 1.8708
Pd 0.0000 2.0014 6.1102
Au 0.0000 0.0000 4.0321
Au 0.0000 0.0000 11.9299

=====

Entry 2:
! PBE BaP3Pd, relaxed; values from VASP
! Energy relative to the elements (kcal/mol of atoms): 41.5
! Raw total energy (eV/atom): -2.8676
! Total magnetization (μB per cell): 0.001
&SYSTEM
  ibrav = 0, nat = 5, ntyp = 3
/
ATOMIC_SPECIES
Ba 137.33 Ba.upf
P 30.97 P.upf
Pd 106.42 Pd.upf
CELL_PARAMETERS angstrom
5.5895 0.0000 0.0000
0.0000 5.5895 0.0000
0.0000 0.0000 5.5895
ATOMIC_POSITIONS angstrom
Ba 0.0000 0.0000 0.0000
P 0.0000 0.0000 2.7947
P 0.0000 2.7947 0.0000
P 2.7947 0.0000 0.0000
Pd 2.7947 2.7947 2.7947

=====

Entry 3:
! PBE RbAg2O2, relaxed; values from VASP
! Raw total energy (eV/atom): -3.6374
! Total magnetization (μB per cell): 0.000
! Raw formation energy (kJ per mole of atoms): -30.89
&SYSTEM
  ibrav = 0, nat = 5, ntyp = 3
/
ATOMIC_SPECIES
Rb 85.47 Rb.upf
Ag 107.87 Ag.upf
O 16.00 O.upf
CELL_PARAMETERS angstrom
-2.2252 2.2252 5.4057
2.2252 -2.2252 5.4057
2.2252 2.2252 -5.4057
ATOMIC_POSITIONS angstrom
Rb 0.0000 0.0000 0.0000
Ag 0.0000 0.0000 3.0873
Ag 0.0000 0.0000 7.7241
O 2.2252 0.0000 2.7029
O 0.0000 2.2252 2.7029

=====

Entry 4:
! PBE PrLu2Pa, relaxed; values from VASP
! Energy relative to the elements (kcal/mol of atoms): 4.2
! Raw total energy (eV/atom): -5.6451
! Total magnetization (μB per cell): 0.000
&SYSTEM
  ibrav = 0, nat = 4, ntyp = 3
/
ATOMIC_SPECIES
Pr 140.91 Pr.upf
Lu 174.97 Lu.upf
Pa 231.04 Pa.upf
CELL_PARAMETERS angstrom
1.6907 0.9761 12.0962
-1.6907 0.9761 12.0962
0.0000 -1.9522 12.0962
ATOMIC_POSITIONS angstrom
Pr 0.0000 0.0000 0.0000
Lu 0.0000 0.0000 3.3933
Lu 0.0000 0.0000 32.8953
Pa 0.0000 0.0000 18.1443

=====

Entry 5:
! PBE ZnCu2CS, relaxed; values from VASP
! Raw total energy (eV/atom): -3.1432
! Total magnetization (μB per cell): 2.007
! Raw formation energy (kJ per mole of atoms): 137.04
&SYSTEM
  ibrav = 0, nat = 5, ntyp = 4
/
ATOMIC_SPECIES
Zn 65.41 Zn.upf
Cu 63.55 Cu.upf
C 12.01 C.upf
S 32.06 S.upf
CELL_PARAMETERS angstrom
4.1940 0.0000 0.0000
0.0000 4.1940 0.0000
0.0000 0.0000 4.9905
ATOMIC_POSITIONS angstrom
Zn 0.0000 0.0000 0.0000
Cu 0.0000 2.0970 2.4953
Cu 2.0970 0.0000 2.4953
C 2.0970 2.0970 0.0000
S 0.0000 0.0000 2.4953

=====

Entry 6:
! PBE CaSnPd2, relaxed; values from VASP
! Energy relative to the elements (kcal/mol of atoms): -15.2
! Raw total energy (eV/atom): -4.7555
! Total magnetization (μB per cell): 0.000
&SYSTEM
  ibrav = 0, nat = 4, ntyp = 3
/
ATOMIC_SPECIES
Ca 40.08 Ca.upf
Sn 118.71 Sn.upf
Pd 106.42 Pd.upf
CELL_PARAMETERS angstrom
4.7044 0.0000 0.0000
0.0000 4.7044 0.0000
0.0000 0.0000 3.5449
ATOMIC_POSITIONS angstrom
Ca 0.0000 0.0000 0.0000
Sn 2.3522 2.3522 0.0000
Pd 0.0000 2.3522 1.7725
Pd 2.3522 0.0000 1.7725

=====

Entry 7:
! PBE LuPuB4, relaxed; values from VASP
! Energy relative to the elements (kcal/mol of atoms): 7.0
! Raw total energy (eV/atom): -7.2902
! Total magnetization (μB per cell): 5.065
&SYSTEM
  ibrav = 0, nat = 6, ntyp = 3
/
ATOMIC_SPECIES
Lu 174.97 Lu.upf
Pu 244.00 Pu.upf
B 10.81 B.upf
CELL_PARAMETERS angstrom
0.0000 3.3174 3.3174
3.3174 0.0000 3.3174
3.3174 3.3174 0.0000
ATOMIC_POSITIONS angstrom
Lu 0.0000 0.0000 0.0000
Pu 4.9762 4.9762 4.9762
B 2.6935 2.6935 2.6935
B 3.9414 3.9414 2.6935
B 3.9414 2.6935 3.9414
B 2.6935 3.9414 3.9414

=====

Entry 8:
! PBE Pr6Te3AsPt2, relaxed; values from VASP
! Raw total energy (eV/atom): -5.8878
! Total magnetization (μB per cell): 0.000
! Raw formation energy (kJ per mole of atoms): -127.21
&SYSTEM
  ibrav = 0, nat = 12, ntyp = 4
/
ATOMIC_SPECIES
Pr 140.91 Pr.upf
Te 127.60 Te.upf
As 74.92 As.upf
Pt 195.08 Pt.upf
CELL_PARAMETERS angstrom
3.7554 -6.5178 0.0000
3.7554 6.5178 0.0000
-2.5334 0.0000 7.5026
ATOMIC_POSITIONS angstrom
Pr -0.0381 2.2064 5.8507
Pr 1.2000 0.0000 1.6465
Pr -0.0381 -2.2064 5.8507
Pr 5.0155 2.2064 1.6518
Pr 3.7774 0.0000 5.8560
Pr 5.0155 -2.2064 1.6518
Te -1.2667 0.0000 3.7513
Te 2.4887 2.1251 3.7513
Te 2.4887 -2.1251 3.7513
As 3.7554 0.0000 0.0000
Pt 3.7554 4.3332 0.0000
Pt 3.7554 -4.3332 0.0000

=====

Entry 9:
! PBE InOs2PdW, relaxed; values from VASP
! Energy relative to the elements (kcal/mol of atoms): 61.5
! Raw total energy (eV/atom): -6.0008
! Total magnetization (μB per cell): 0.000
&SYSTEM
  ibrav = 0, nat = 5, ntyp = 4
/
ATOMIC_SPECIES
In 114.82 In.upf
Os 190.23 Os.upf
Pd 106.42 Pd.upf
W 183.84 W.upf
CELL_PARAMETERS angstrom
4.7873 0.0000 0.0000
0.0000 4.7873 0.0000
0.0000 0.0000 4.6171
ATOMIC_POSITIONS angstrom
In 0.0000 0.0000 0.0000
Os 0.0000 2.3936 0.0000
Os 2.3936 0.0000 0.0000
Pd 0.0000 0.0000 2.3086
W 2.3936 2.3936 2.3086

=====

Entry 10:
! PBE TaRe2Se, relaxed; values from VASP
! Raw total energy (eV/atom): -9.6645
! Total magnetization (μB per cell): 0.000
! Raw formation energy (kJ per mole of atoms): 38.00
&SYSTEM
  ibrav = 0, nat = 4, ntyp = 3
/
ATOMIC_SPECIES
Ta 180.95 Ta.upf
Re 186.21 Re.upf
Se 78.96 Se.upf
CELL_PARAMETERS angstrom
2.9570 0.0000 0.0000
0.0000 4.8450 0.0000
-0.0860 0.0000 4.6243
ATOMIC_POSITIONS angstrom
Ta 0.0000 0.0000 0.0000
Re 0.9303 2.4225 1.1250
Re 1.9407 2.4225 3.4993
Se 1.4355 0.0000 2.3122

=====

Entry 11:
! PBE CaSi2Ir, relaxed; values from VASP
! Raw total energy (eV/atom): -6.0736
! Total magnetization (μB per cell): 0.000
! Raw formation energy (kJ per mole of atoms): -62.37
&SYSTEM
  ibrav = 0, nat = 4, ntyp = 3
/
ATOMIC_SPECIES
Ca 40.08 Ca.upf
Si 28.09 Si.upf
Ir 192.22 Ir.upf
CELL_PARAMETERS angstrom
2.0356 1.1752 5.2114
-2.0356 1.1752 5.2114
0.0000 -2.3505 5.2114
ATOMIC_POSITIONS angstrom
Ca 0.0000 0.0000 0.0000
Si 0.0000 0.0000 3.3046
Si 0.0000 0.0000 12.3296
Ir 0.0000 0.0000 7.8171

=====

Entry 12:
! PBE BaAs2Cl, relaxed; values from VASP
! Raw total energy (eV/atom): -4.0334
! Total magnetization (μB per cell): 0.627
! Raw formation energy (kJ per mole of atoms): -73.93
&SYSTEM
  ibrav = 0, nat = 4, ntyp = 3
/
ATOMIC_SPECIES
Ba 137.33 Ba.upf
As 74.92 As.upf
Cl 35.45 Cl.upf
CELL_PARAMETERS angstrom
4.8812 0.0000 0.0000
0.0000 4.8812 0.0000
0.0000 0.0000 6.0222
ATOMIC_POSITIONS angstrom
Ba 0.0000 0.0000 0.0000
As 2.4406 2.4406 1.1283
As 2.4406 2.4406 4.8939
Cl 0.0000 0.0000 3.0111